(1)
A plane-wave DFT calculation with PBE was carried out for a geometry-optimized Ba2MgHPb structure.

a = 5.5566 Å, b = 5.5566 Å, c = 4.9283 Å
α = 90.00°, β = 90.00°, γ = 90.00°
With the nearest neighbours (Å) after each atom.
Atoms (fractional coordinates):
Ba 0.5000 0.0000 0.0000  2 H 2.78
H 0.0000 0.0000 0.0000  2 Mg 2.46
Ba 0.0000 0.5000 0.0000  2 H 2.78
Pb 0.5000 0.5000 0.5000  8 Ba 3.71, 4 Mg 3.93
Mg 0.0000 0.0000 0.5000  2 H 2.46

Computed properties:
Total energy = -2.84 eV/atom
SG = No. 123



(2)
A plane-wave DFT calculation with PBE was carried out for a geometry-optimized Ba2MgH6Pd structure.

a = 5.7984 Å, b = 5.7984 Å, c = 5.7070 Å
α = 60.68°, β = 60.68°, γ = 92.08°
With the nearest neighbours (Å) after each atom.
Atoms (fractional coordinates):
H 0.2594 0.2594 0.4810  1 Pd 1.95, 1 Mg 2.10
H 0.2621 0.2620 0.9998  1 Pd 1.92, 1 Mg 2.11
H 0.7560 0.2441 0.0000  1 Mg 2.04, 1 Pd 2.14
Ba 0.2500 0.7500 0.5000  12 H 2.85-2.91
Mg 0.0000 0.0000 0.0000  6 H 2.04-2.11
Ba 0.7500 0.2500 0.5000  12 H 2.85-2.91
Pd 0.5000 0.5000 0.0000  6 H 1.92-2.14
H 0.7406 0.7406 0.5190  1 Pd 1.95, 1 Mg 2.10
H 0.2440 0.7559 0.0000  1 Mg 2.04, 1 Pd 2.14
H 0.7379 0.7380 0.0002  1 Pd 1.92, 1 Mg 2.11

Computed properties:
Total energy = -3.48 eV/atom
SG = No. 69



(3)
A plane-wave DFT calculation with PBE was carried out for a geometry-optimized Ba2MgH6Pt structure.

a = 5.5605 Å, b = 5.5605 Å, c = 6.0305 Å
α = 62.55°, β = 62.55°, γ = 90.00°
With the nearest neighbours (Å) after each atom.
Atoms (fractional coordinates):
Mg 0.0000 0.0000 0.0000  2 H 1.92
H 0.2764 0.7236 0.0000  1 Pt 1.76
Pt 0.5000 0.5000 0.0000  4 H 1.76
H 0.7895 0.7895 0.4210  1 Mg 1.92
Ba 0.7500 0.2500 0.5000  12 H 2.80-3.02
H 0.7235 0.7235 0.0000  1 Pt 1.76
H 0.7235 0.2764 0.0000  1 Pt 1.76
H 0.2765 0.2765 0.0000  1 Pt 1.76
H 0.2105 0.2105 0.5790  1 Mg 1.92
Ba 0.2500 0.7500 0.5000  12 H 2.80-3.02

Computed properties:
Total energy = -3.55 eV/atom
SG = No. 139



(4)
A plane-wave DFT calculation with PBE was carried out for a geometry-optimized Ba2MgHPt structure.

a = 5.9017 Å, b = 5.9017 Å, c = 3.8575 Å
α = 90.00°, β = 90.00°, γ = 90.00°
With the nearest neighbours (Å) after each atom.
Atoms (fractional coordinates):
Mg 0.5000 0.5000 0.5000  8 Ba 3.53, 2 Mg 3.86
Pt 0.0000 0.0000 0.5000  2 H 1.93
H 0.0000 0.0000 0.0000  2 Pt 1.93
Ba 0.0000 0.5000 0.0000  2 H 2.95
Ba 0.5000 0.0000 0.0000  2 H 2.95

Computed properties:
Total energy = -3.28 eV/atom
SG = No. 123



(5)
A plane-wave DFT calculation with PBE was carried out for a geometry-optimized BaMgH8Pt2 structure.

a = 5.0132 Å, b = 5.0132 Å, c = 6.9170 Å
α = 68.75°, β = 68.75°, γ = 60.00°
With the nearest neighbours (Å) after each atom.
Atoms (fractional coordinates):
H 0.0675 0.3952 0.8281  1 Pt 1.69
H 0.8053 0.8053 0.5840  1 Pt 1.60
H 0.2908 0.9325 0.1719  1 Pt 1.69
Ba 0.5000 0.5000 0.5000  6 H 2.61
Pt 0.2794 0.2794 0.1617  4 H 1.60-1.69
Mg 0.0000 0.0000 0.0000  6 H 2.03
H 0.1947 0.1947 0.4160  1 Pt 1.60
H 0.9325 0.6048 0.1719  1 Pt 1.69
H 0.6048 0.2908 0.1719  1 Pt 1.69
H 0.3952 0.7092 0.8281  1 Pt 1.69
H 0.7092 0.0675 0.8281  1 Pt 1.69
Pt 0.7206 0.7206 0.8383  4 H 1.60-1.69

Computed properties:
Total energy = -3.70 eV/atom
SG = No. 148



(6)
A plane-wave DFT calculation with PBE was carried out for a geometry-optimized Ba2PuMg3H12 structure.

a = 6.7338 Å, b = 6.7338 Å, c = 6.7338 Å
α = 62.31°, β = 62.31°, γ = 62.31°
With the nearest neighbours (Å) after each atom.
Atoms (fractional coordinates):
Mg 0.5000 0.0000 0.0000  6 H 1.93-1.94
H 0.1303 0.7413 0.7413  2 Mg 1.93
H 0.8697 0.2587 0.2587  2 Mg 1.93
H 0.2587 0.8697 0.2587  2 Mg 1.93
H 0.1364 0.1364 0.5835  1 Mg 1.94
Ba 0.3891 0.3891 0.3891  6 H 2.46-2.73
Pu 0.0000 0.0000 0.0000  12 H 2.36-2.61
H 0.8636 0.8636 0.4165  1 Mg 1.94
H 0.2587 0.2587 0.8697  2 Mg 1.93
Mg 0.0000 0.5000 0.0000  6 H 1.93-1.94
H 0.5835 0.1364 0.1364  1 Mg 1.94
Ba 0.6109 0.6109 0.6109  6 H 2.46-2.73
H 0.8636 0.4165 0.8636  1 Mg 1.94
H 0.1364 0.5835 0.1364  1 Mg 1.94
H 0.4165 0.8636 0.8636  1 Mg 1.94
H 0.7413 0.7413 0.1303  2 Mg 1.93
H 0.7413 0.1303 0.7413  2 Mg 1.93
Mg 0.0000 0.0000 0.5000  6 H 1.93-1.94

Computed properties:
Total energy = -3.82 eV/atom
SG = No. 166